## w
First-principles (PBE) data for PrNdGa after structural relaxation, as listed in Alexandria via LeMat-Bulk.

Lattice parameters (Å, degrees): 5.1293 5.1293 5.1293 60.00 60.00 60.00
Atoms (fractional coordinates):
Pr: 0.5000 0.5000 0.5000
Ga: 0.2500 0.2500 0.2500
Nd: 0.0000 0.0000 0.0000

## Properties
Space group: F-43m, No. 216
Calculated density (g/cm3): 6.18



## x
First-principles (PBE) data for PrNdGa after structural relaxation, as listed in Alexandria via LeMat-Bulk.

Lattice parameters (Å, degrees): 3.9049 5.0225 5.0225 120.00 90.00 90.00
Atoms (fractional coordinates):
Ga: 0.6579 0.6667 0.3333
Pr: 0.9616 0.0000 0.0000
Nd: 0.3804 0.3333 0.6667

## Properties
Space group: P3m1, No. 156
Calculated density (g/cm3): 6.91



Result of the stability comparison: x is the most stable of them.